# CsLi4Pm3Br12 GGA-PBE optimized geometry
data_CsLi4Pm3Br12
_chemical_formula_sum 'Cs3 Li12 Pm9 Br36'
_space_group_name_H-M_alt 'R 3 2'
_space_group_IT_number 155
_space_group_name_Hall 'R 3 2"'
_cell_length_a 15.8141
_cell_length_b 15.8141
_cell_length_c 9.9130
_cell_angle_alpha 90.00
_cell_angle_beta 90.00
_cell_angle_gamma 120.00
loop_
_atom_site_label
_atom_site_type_symbol
_atom_site_fract_x
_atom_site_fract_y
_atom_site_fract_z
Cs1 Cs 0.0000 0.0000 0.0000
Li1 Li 0.0000 0.0000 0.5000
Li2 Li 0.0000 0.4142 0.5000
Pm1 Pm 0.0000 0.5790 0.0000
Br1 Br 0.0000 0.5752 0.5000
Br2 Br 0.0000 0.8461 0.5000
Br3 Br 0.0704 0.2412 0.1670
# Energy   -3.73 eV/atom
# Fermi-level density of states   0.48 states/eV/atom
# Formation energy without anion corrections   -1589.9 meV per atom


# Cs3Li2PrBr9 GGA-PBE optimized geometry
data_Cs3Li2PrBr9
_chemical_formula_sum 'Cs3 Li2 Pr1 Br9'
_space_group_name_H-M_alt 'P -3 m 1'
_space_group_IT_number 164
_space_group_name_Hall '-P 3 2"'
_cell_length_a 7.9153
_cell_length_b 7.9153
_cell_length_c 9.8730
_cell_angle_alpha 90.00
_cell_angle_beta 90.00
_cell_angle_gamma 120.00
loop_
_atom_site_label
_atom_site_type_symbol
_atom_site_fract_x
_atom_site_fract_y
_atom_site_fract_z
Cs1 Cs 0.0000 0.0000 0.0000
Cs2 Cs 0.3333 0.6667 0.6783
Li1 Li 0.3333 0.6667 0.1449
Pr1 Pr 0.0000 0.0000 0.5000
Br1 Br 0.0000 0.5000 0.0000
Br2 Br 0.1716 0.3433 0.3279
# Energy   -3.35 eV/atom
# Fermi-level density of states   1.15 states/eV/atom
# Formation energy without anion corrections   -1599.3 meV per atom